The following is a GGA-PBE calculation of a relaxed Zr2Tl2Pb crystal, from Alexandria via LeMat-Bulk.

Output
The calculation puts the final energy at -49.8 eV for the cell shown. Its volume is 261 Å³ per cell. The density of states at the Fermi level is 9.99 states/eV/cell. Its formation energy is 0.127 eV/atom. As for the distance to the lowest polymorph of the same formula: 0.498 eV/f.u.

The structure in CIF format:
```
data_Zr2Tl2Pb
_cell_length_a 8.9989
_cell_length_b 8.9989
_cell_length_c 3.2199
_cell_angle_alpha 90.00
_cell_angle_beta 90.00
_cell_angle_gamma 90.00
_space_group_name_H-M_alt 'P 4/m b m'
_space_group_IT_number 127
_space_group_name_Hall '-P 4 2ab'
loop_
_atom_site_label
_atom_site_fract_x
_atom_site_fract_y
_atom_site_fract_z
Zr1 0.1247 0.3753 0.0000
Tl1 0.1712 0.6712 0.5000
Pb1 0.0000 0.0000 0.5000
```